Computed, not measured: a relaxed CaTa2Sb crystal at the PBE level of DFT.

Values from the calculation:
The crystal system is tetragonal. For the raw formation energy, the calculation gives 0.309 eV/atom.

abc: 4.1838 4.1838 4.8592
angles: 90.00 90.00 90.00
Last column: nearest neighbours and their distance in Å.
Positions (direct):
1 Ca 0.0000 0.0000 0.0000  4 Sb 2.96, 8 Ta 3.21
2 Ta 0.0000 0.5000 0.5000  4 Ta 2.96, 4 Sb 3.21, 4 Ca 3.21
3 Ta 0.5000 0.0000 0.5000  4 Ta 2.96, 4 Sb 3.21, 4 Ca 3.21
4 Sb 0.5000 0.5000 0.0000  4 Ca 2.96, 8 Ta 3.21